1.
Below is a relaxed structure of TbYTm, with properties calculated at the PBE level.

Output
* ΔE to the lowest computed polymorph: 0.7105 eV per atom
* energy relative to the elements: 0.73 eV per atom
* N(E_F): 1.60 states/eV/atom
* volume: 453.0 Å³ per cell

Cell and atoms, written as CIF:
```
data_TbYTm
_cell_length_a 11.468
_cell_length_b 11.557
_cell_length_c 3.418
_cell_angle_alpha 90.00
_cell_angle_beta 90.00
_cell_angle_gamma 90.00
_space_group_name_H-M_alt 'C m m m'
_space_group_IT_number 65
_space_group_name_Hall '-C 2 2'
loop_
_atom_site_label
_atom_site_type_symbol
_atom_site_fract_x
_atom_site_fract_y
_atom_site_fract_z
Tb1 Tb 0.000 0.000 0.000
Tb2 Tb 0.000 0.500 0.500
Y1 Y 0.000 0.239 0.500
Tm1 Tm 0.237 0.500 0.000
```

---

2.
Below is a relaxed structure of Tb5YTm5, with properties calculated at the PBE level.

Output
* ΔE to the lowest computed polymorph: 0.1642 eV per atom
* energy relative to the elements: 0.31 eV per atom
* N(E_F): 2.00 states/eV/atom
* volume: 361.9 Å³ per cell

Cell and atoms, written as CIF:
```
data_Tb5YTm5
_cell_length_a 6.0031
_cell_length_b 6.0031
_cell_length_c 11.5963
_cell_angle_alpha 90.00
_cell_angle_beta 90.00
_cell_angle_gamma 120.00
_space_group_name_H-M_alt 'P -6 m 2'
_space_group_IT_number 187
_space_group_name_Hall 'P -6 2'
loop_
_atom_site_label
_atom_site_type_symbol
_atom_site_fract_x
_atom_site_fract_y
_atom_site_fract_z
Tb1 Tb 0.0000 0.0000 0.0000
Tb2 Tb 0.3333 0.6667 0.3168
Tb3 Tb 0.6667 0.3333 0.1547
Y1 Y 0.3333 0.6667 0.0000
Tm1 Tm 0.0000 0.0000 0.2655
Tm2 Tm 0.3342 0.1671 0.5000
```

---

Among the records above, which one has the lowest volume? Tb5YTm5

---

What is the N(E_F) in the second record? 2.00 states/eV/atom

---

Which formula does entry 1 have? TbYTm